1.
Density functional theory data (PBE) for a relaxed structure of ScTe2Pt. Values from VASP.

Quantum ESPRESSO input file:
```
&SYSTEM
  ibrav = 0, nat = 4, ntyp = 3
/
ATOMIC_SPECIES
Pt 195.08 Pt.upf
Sc 44.96 Sc.upf
Te 127.60 Te.upf
ATOMIC_POSITIONS angstrom
Pt -2.1450 -0.2415 -4.8314
Sc -2.6445 -1.1892 -1.6644
Te 0.0000 0.0000 0.0000
Te -0.0627 -1.8606 -2.7771
CELL_PARAMETERS angstrom
-4.7269 0.4299 -3.7187
0.4368 -0.9128 -5.9442
1.5829 -2.5668 5.2214
```

## Properties
Formation energy (no corrections): -485 meV/atom
Total DFT energy (no corrections): -5.1490 eV per atom



2.
Density functional theory data (PBE) for a relaxed structure of Cd6GaAg. Values from VASP.

Quantum ESPRESSO input file:
```
&SYSTEM
  ibrav = 0, nat = 8, ntyp = 3
/
ATOMIC_SPECIES
Cd 112.41 Cd.upf
Ga 69.72 Ga.upf
Ag 107.87 Ag.upf
ATOMIC_POSITIONS angstrom
Cd 12.3728 5.3109 2.9558
Cd 12.6302 8.4529 3.1239
Cd 5.8100 2.3719 1.0957
Cd 2.7433 0.6760 0.7517
Cd 3.0007 3.8180 0.9199
Cd 9.5634 6.7570 2.7799
Ga 0.0000 0.0000 0.0000
Ag 7.6867 4.5644 1.9378
CELL_PARAMETERS angstrom
7.6304 0.1257 0.2106
3.9284 6.6824 0.0989
3.8146 2.3207 3.5661
```

## Properties
ΔE to the lowest computed polymorph: 30.3 meV/atom
Calculated formation energy: 45 meV per atom
Total DFT energy (no corrections): -1.3758 eV per atom



3.
Density functional theory data (PBE) for a relaxed structure of Tb4Dy15Y. Values from VASP.

Quantum ESPRESSO input file:
```
&SYSTEM
  ibrav = 0, nat = 20, ntyp = 3
/
ATOMIC_SPECIES
Tb 158.93 Tb.upf
Dy 162.50 Dy.upf
Y 88.91 Y.upf
ATOMIC_POSITIONS angstrom
Tb -3.6549 3.2323 1.1979
Tb -7.3040 6.4596 2.3939
Tb -10.9549 9.6885 3.5906
Tb -14.6041 12.9158 4.7866
Dy -2.0129 -2.6950 1.1304
Dy -5.6670 0.5367 2.3280
Dy -9.3171 3.7648 3.5244
Dy -12.9677 6.9934 4.7209
Dy -16.6178 10.2215 5.9172
Dy -3.5234 0.1015 -0.4622
Dy -7.1707 3.3273 0.7333
Dy -10.8208 6.5554 1.9296
Dy -14.4710 9.7835 3.1260
Dy -18.1183 13.0093 4.3214
Dy -2.1535 0.4439 2.7934
Dy -5.8009 3.6696 3.9889
Dy -9.4510 6.8978 5.1852
Dy -13.1011 10.1259 6.3816
Dy -16.7485 13.3516 7.5770
Y 0.0000 0.0000 0.0000
CELL_PARAMETERS angstrom
-3.3828 -3.0373 -2.1252
-0.6431 -2.3526 4.3860
-18.2589 16.1481 5.9845
```

## Properties
Calculated formation energy: 18 meV per atom
Total DFT energy (no corrections): -4.6832 eV per atom



4.
Density functional theory data (PBE) for a relaxed structure of ScTeS3. Values from VASP.

Quantum ESPRESSO input file:
```
&SYSTEM
  ibrav = 0, nat = 5, ntyp = 3
/
ATOMIC_SPECIES
Sc 44.96 Sc.upf
S 32.06 S.upf
Te 127.60 Te.upf
ATOMIC_POSITIONS angstrom
Sc 0.0000 0.0000 0.0000
S 0.0000 2.4507 0.0000
S 0.0000 0.0000 2.4507
S 2.4507 0.0000 0.0000
Te 2.4507 2.4507 2.4507
CELL_PARAMETERS angstrom
4.9013 0.0000 0.0000
0.0000 4.9013 0.0000
0.0000 0.0000 4.9013
```

## Properties
Formation energy (no corrections): -269 meV/atom
ΔE to the lowest computed polymorph: 580.8 meV/atom
Total DFT energy (no corrections): -4.6401 eV per atom



5.
Density functional theory data (PBE) for a relaxed structure of KRbHF. Values from VASP.

Quantum ESPRESSO input file:
```
&SYSTEM
  ibrav = 0, nat = 4, ntyp = 4
/
ATOMIC_SPECIES
H 1.01 H.upf
K 39.10 K.upf
Rb 85.47 Rb.upf
F 19.00 F.upf
ATOMIC_POSITIONS angstrom
H -0.4432 0.5018 2.8924
K -0.8864 1.0036 5.7847
Rb 0.0000 0.0000 0.0000
F -1.3297 1.5054 8.6771
CELL_PARAMETERS angstrom
-3.1245 1.7139 3.2870
-0.2891 -2.0645 4.3770
1.6407 2.3578 3.9055
```

## Properties
ΔE to the lowest computed polymorph: 100.4 meV/atom
Total DFT energy (no corrections): -3.1613 eV per atom



6.
Density functional theory data (PBE) for a relaxed structure of Ce2AlAu7. Values from VASP.

Quantum ESPRESSO input file:
```
&SYSTEM
  ibrav = 0, nat = 10, ntyp = 3
/
ATOMIC_SPECIES
Ce 140.12 Ce.upf
Al 26.98 Al.upf
Au 196.97 Au.upf
ATOMIC_POSITIONS angstrom
Ce 2.0248 0.0000 9.9930
Ce 0.0000 2.0248 3.2752
Al 2.0248 2.0248 0.0000
Au 0.0000 2.0248 11.3720
Au 2.0248 0.0000 4.6215
Au 2.0248 0.0000 1.8963
Au 0.0000 2.0248 8.6468
Au 0.0000 0.0000 6.6341
Au 0.0000 0.0000 0.0000
Au 2.0248 2.0248 6.6341
CELL_PARAMETERS angstrom
4.0495 0.0000 0.0000
0.0000 4.0495 0.0000
0.0000 0.0000 13.2682
```

## Properties
Calculated formation energy: -460 meV per atom
Total DFT energy (no corrections): -4.3148 eV per atom



7.
Density functional theory data (PBE) for a relaxed structure of CaCr2H8. Values from VASP.

Quantum ESPRESSO input file:
```
&SYSTEM
  ibrav = 0, nat = 11, ntyp = 3
/
ATOMIC_SPECIES
Ca 40.08 Ca.upf
Cr 52.00 Cr.upf
H 1.01 H.upf
ATOMIC_POSITIONS angstrom
Ca 0.3202 0.0317 0.0147
Cr 2.6072 2.6272 0.0515
Cr 2.6422 1.2431 2.2750
H 1.4806 3.8920 0.3902
H 1.5262 2.0895 3.2858
H 3.1401 2.7566 1.6665
H 4.2673 1.2309 2.2718
H 4.2316 2.6419 0.0051
H 1.5138 1.7371 1.0575
H 3.0705 0.9473 3.8981
H 2.9943 3.9587 -0.9396
CELL_PARAMETERS angstrom
4.6527 0.0727 -0.0280
-0.0623 3.9579 -2.1138
0.0416 -0.1496 4.4847
```

## Properties
Total DFT energy (no corrections): -4.4544 eV per atom



8.
Density functional theory data (PBE) for a relaxed structure of BaPaCuTe4. Values from VASP.

Quantum ESPRESSO input file:
```
&SYSTEM
  ibrav = 0, nat = 14, ntyp = 4
/
ATOMIC_SPECIES
Ba 137.33 Ba.upf
Pa 231.04 Pa.upf
Cu 63.55 Cu.upf
Te 127.60 Te.upf
ATOMIC_POSITIONS angstrom
Ba 5.8748 -8.3842 1.0149
Ba 0.7656 -1.7366 -1.4381
Pa 3.5401 -6.2385 -2.4730
Pa 3.1003 -3.8823 2.0498
Cu 4.5426 -3.1857 -1.5439
Cu 2.0978 -6.9351 1.1207
Te 6.0540 -3.2243 3.1909
Te -1.9427 -6.6309 -1.7577
Te 0.5864 -6.8965 -3.6141
Te 8.5831 -3.4899 1.3346
Te 3.0306 -3.3770 -3.5765
Te 3.6098 -6.7438 3.1534
Te 5.3485 -5.1680 -0.1623
Te 1.2919 -4.9528 -0.2608
CELL_PARAMETERS angstrom
-3.4091 -5.5736 -3.8473
5.1710 -0.5429 -3.7954
4.8785 -4.0043 7.2195
```

## Properties
Formation energy (no corrections): -888 meV/atom
Total DFT energy (no corrections): -4.9001 eV per atom



9.
Density functional theory data (PBE) for a relaxed structure of HoPuCuTc. Values from VASP.

Quantum ESPRESSO input file:
```
&SYSTEM
  ibrav = 0, nat = 4, ntyp = 4
/
ATOMIC_SPECIES
Tc 98.00 Tc.upf
Ho 164.93 Ho.upf
Cu 63.55 Cu.upf
Pu 244.00 Pu.upf
ATOMIC_POSITIONS angstrom
Tc -2.8970 -0.3673 -0.4869
Ho 0.0000 0.0000 0.0000
Cu -8.6909 -1.1018 -1.4606
Pu -5.7939 -0.7346 -0.9738
CELL_PARAMETERS angstrom
-4.0569 2.1633 -1.4943
-3.2968 -2.5047 -2.4958
-4.2341 -1.1277 2.0426
```

## Properties
Calculated formation energy: 24 meV per atom
Total DFT energy (no corrections): -8.3191 eV per atom



10.
Density functional theory data (PBE) for a relaxed structure of La2TiSnN. Values from VASP.

Quantum ESPRESSO input file:
```
&SYSTEM
  ibrav = 0, nat = 5, ntyp = 4
/
ATOMIC_SPECIES
N 14.01 N.upf
Ti 47.87 Ti.upf
Sn 118.71 Sn.upf
La 138.91 La.upf
ATOMIC_POSITIONS angstrom
N 0.0000 0.0000 0.0000
Ti 0.0000 0.0000 2.0707
Sn 2.6492 2.6492 2.0707
La 0.0000 2.6492 0.0000
La 2.6492 0.0000 0.0000
CELL_PARAMETERS angstrom
5.2984 0.0000 0.0000
0.0000 5.2984 0.0000
0.0000 0.0000 4.1414
```

## Properties
Formation energy (no corrections): -906 meV/atom
Total DFT energy (no corrections): -6.9215 eV per atom